A plane-wave DFT calculation with GGA-PBE was carried out for an optimized crystal structure of BaCaIO6.

- raw total energy (eV/atom) = -5.431
- space-group type = P312, No. 149
- ρ (Mg/m³) = 4.179
- formation energy (no corrections) (meV per atom) = -1517
- total magnetization (μB/atom) = 0.119
- V (Å³/f.u.) = 159.04
- Fermi-level density of states (states/eV per cell) = 8.10

```
data_BaCaIO6
_chemical_formula_sum 'Ba1 Ca1 I1 O6'
_space_group_name_H-M_alt 'P 1'
_space_group_IT_number 1
_space_group_name_Hall 'P 1'
_cell_length_a 5.776
_cell_length_b 5.776
_cell_length_c 5.503
_cell_angle_alpha 90.00
_cell_angle_beta 90.00
_cell_angle_gamma 120.00
loop_
_atom_site_label
_atom_site_fract_x
_atom_site_fract_y
_atom_site_fract_z
Ba1 0.000 0.000 0.000
Ca1 0.333 0.667 0.500
I1 0.667 0.333 0.500
O1 0.402 0.058 0.697
O2 0.402 0.344 0.303
O3 0.656 0.058 0.303
O4 0.656 0.598 0.697
O5 0.942 0.344 0.697
O6 0.942 0.598 0.303
```



A plane-wave DFT calculation with GGA-PBE was carried out for an optimized crystal structure of Li3Pm2CdCu12.

- raw total energy (eV/atom) = -3.512
- space-group type = R-3m, No. 166
- ρ (Mg/m³) = 6.445
- total magnetization (μB/atom) = 0.000
- V (Å³/f.u.) = 305.52
- Fermi-level density of states (states/eV per cell) = 7.85
- calculated formation energy (eV per atom) = 0.116

```
data_Li3Pm2CdCu12
_chemical_formula_sum 'Li3 Pm2 Cd1 Cu12'
_space_group_name_H-M_alt 'P 1'
_space_group_IT_number 1
_space_group_name_Hall 'P 1'
_cell_length_a 9.806
_cell_length_b 9.806
_cell_length_c 9.806
_cell_angle_alpha 36.97
_cell_angle_beta 36.97
_cell_angle_gamma 36.97
loop_
_atom_site_label
_atom_site_fract_x
_atom_site_fract_y
_atom_site_fract_z
Li1 0.000 0.500 0.500
Li2 0.500 0.000 0.500
Li3 0.500 0.500 0.000
Pm1 0.138 0.138 0.138
Pm2 0.862 0.862 0.862
Cd1 0.500 0.500 0.500
Cu1 0.042 0.627 0.627
Cu2 0.086 0.086 0.701
Cu3 0.086 0.701 0.086
Cu4 0.299 0.914 0.914
Cu5 0.373 0.373 0.958
Cu6 0.373 0.958 0.373
Cu7 0.627 0.042 0.627
Cu8 0.627 0.627 0.042
Cu9 0.701 0.086 0.086
Cu10 0.914 0.299 0.914
Cu11 0.914 0.914 0.299
Cu12 0.958 0.373 0.373
```



A plane-wave DFT calculation with GGA-PBE was carried out for an optimized crystal structure of Y2MgRu.

- raw total energy (eV/atom) = -5.987
- space-group type = R-3m, No. 166
- ρ (Mg/m³) = 4.876
- total magnetization (μB/atom) = 0.000
- V (Å³/f.u.) = 103.26
- Fermi-level density of states (states/eV per cell) = 12.25
- calculated formation energy (eV per atom) = -0.037

```
data_Y2MgRu
_chemical_formula_sum 'Y6 Mg3 Ru3'
_space_group_name_H-M_alt 'P 1'
_space_group_IT_number 1
_space_group_name_Hall 'P 1'
_cell_length_a 3.613
_cell_length_b 3.613
_cell_length_c 27.404
_cell_angle_alpha 90.00
_cell_angle_beta 90.00
_cell_angle_gamma 120.00
loop_
_atom_site_label
_atom_site_fract_x
_atom_site_fract_y
_atom_site_fract_z
Y1 0.000 0.000 0.234
Y2 0.000 0.000 0.766
Y3 0.333 0.667 0.432
Y4 0.333 0.667 0.901
Y5 0.667 0.333 0.099
Y6 0.667 0.333 0.568
Mg1 0.000 0.000 0.000
Mg2 0.333 0.667 0.667
Mg3 0.667 0.333 0.333
Ru1 0.000 0.000 0.500
Ru2 0.333 0.667 0.167
Ru3 0.667 0.333 0.833
```



A plane-wave DFT calculation with GGA-PBE was carried out for an optimized crystal structure of SbRhNO2.

- raw total energy (eV/atom) = -5.814
- space-group type = P4/mmm, No. 123
- ρ (Mg/m³) = 7.160
- formation energy (no corrections) (meV per atom) = 130
- total magnetization (μB/atom) = 0.000
- V (Å³/f.u.) = 62.77
- Fermi-level density of states (states/eV per cell) = 1.93

```
data_SbRhNO2
_chemical_formula_sum 'Sb1 Rh1 N1 O2'
_space_group_name_H-M_alt 'P 1'
_space_group_IT_number 1
_space_group_name_Hall 'P 1'
_cell_length_a 4.077
_cell_length_b 4.077
_cell_length_c 3.777
_cell_angle_alpha 90.00
_cell_angle_beta 90.00
_cell_angle_gamma 90.00
loop_
_atom_site_label
_atom_site_fract_x
_atom_site_fract_y
_atom_site_fract_z
Sb1 0.000 0.000 0.000
Rh1 0.500 0.500 0.500
N1 0.500 0.500 0.000
O1 0.000 0.500 0.500
O2 0.500 0.000 0.500
```



A plane-wave DFT calculation with GGA-PBE was carried out for an optimized crystal structure of Ac2CePr.

- raw total energy (eV/atom) = -4.623
- space-group type = R3m, No. 160
- ρ (Mg/m³) = 7.824
- energy above the most stable polymorph in this dataset (meV/atom) = 12
- total magnetization (μB/atom) = 0.295
- V (Å³/f.u.) = 156.01
- Fermi-level density of states (states/eV per cell) = 26.73
- calculated formation energy (eV per atom) = 0.109

```
data_Ac2CePr
_chemical_formula_sum 'Ac6 Ce3 Pr3'
_space_group_name_H-M_alt 'P 1'
_space_group_IT_number 1
_space_group_name_Hall 'P 1'
_cell_length_a 3.829
_cell_length_b 3.829
_cell_length_c 36.867
_cell_angle_alpha 90.00
_cell_angle_beta 90.00
_cell_angle_gamma 120.00
loop_
_atom_site_label
_atom_site_fract_x
_atom_site_fract_y
_atom_site_fract_z
Ac1 0.000 0.000 0.000
Ac2 0.000 0.000 0.163
Ac3 0.333 0.667 0.667
Ac4 0.333 0.667 0.830
Ac5 0.667 0.333 0.333
Ac6 0.667 0.333 0.496
Ce1 0.000 0.000 0.415
Ce2 0.333 0.667 0.081
Ce3 0.667 0.333 0.748
Pr1 0.000 0.000 0.583
Pr2 0.333 0.667 0.249
Pr3 0.667 0.333 0.916
```



A plane-wave DFT calculation with GGA-PBE was carried out for an optimized crystal structure of Ta3C2.

- raw total energy (eV/atom) = -11.367
- space-group type = R-3c, No. 167
- ρ (Mg/m³) = 14.516
- energy above the most stable polymorph in this dataset (meV/atom) = 45
- total magnetization (μB/atom) = 0.000
- V (Å³/f.u.) = 64.85
- Fermi-level density of states (states/eV per cell) = 4.62
- calculated formation energy (eV per atom) = -0.566

```
data_Ta3C2
_chemical_formula_sum 'Ta6 C4'
_space_group_name_H-M_alt 'P 1'
_space_group_IT_number 1
_space_group_name_Hall 'P 1'
_cell_length_a 5.922
_cell_length_b 5.922
_cell_length_c 5.922
_cell_angle_alpha 54.97
_cell_angle_beta 54.97
_cell_angle_gamma 54.97
loop_
_atom_site_label
_atom_site_fract_x
_atom_site_fract_y
_atom_site_fract_z
Ta1 0.076 0.750 0.424
Ta2 0.250 0.576 0.924
Ta3 0.424 0.076 0.750
Ta4 0.576 0.924 0.250
Ta5 0.750 0.424 0.076
Ta6 0.924 0.250 0.576
C1 0.160 0.160 0.160
C2 0.340 0.340 0.340
C3 0.660 0.660 0.660
C4 0.840 0.840 0.840
```



A plane-wave DFT calculation with GGA-PBE was carried out for an optimized crystal structure of K3RbAu.

- raw total energy (eV/atom) = -1.621
- space-group type = P1, No. 1
- ρ (Mg/m³) = 2.299
- energy above the most stable polymorph in this dataset (meV/atom) = 20
- total magnetization (μB/atom) = 0.000
- V (Å³/f.u.) = 288.70
- Fermi-level density of states (states/eV per cell) = 9.43
- calculated formation energy (eV per atom) = -0.114

```
data_K3RbAu
_chemical_formula_sum 'K6 Rb2 Au2'
_space_group_name_H-M_alt 'P 1'
_space_group_IT_number 1
_space_group_name_Hall 'P 1'
_cell_length_a 8.040
_cell_length_b 8.065
_cell_length_c 8.962
_cell_angle_alpha 89.13
_cell_angle_beta 83.60
_cell_angle_gamma 89.17
loop_
_atom_site_label
_atom_site_fract_x
_atom_site_fract_y
_atom_site_fract_z
K1 0.000 0.000 0.000
K2 0.001 0.022 0.502
K3 0.127 0.564 0.263
K4 0.136 0.453 0.756
K5 0.507 0.954 0.620
K6 0.648 0.460 0.494
Rb1 0.498 0.090 0.127
Rb2 0.652 0.582 0.986
Au1 0.763 0.219 0.783
Au2 0.764 0.808 0.295
```



A plane-wave DFT calculation with GGA-PBE was carried out for an optimized crystal structure of TcPbSN2.

- raw total energy (eV/atom) = -6.593
- space-group type = P4/mmm, No. 123
- ρ (Mg/m³) = 7.587
- energy above the most stable polymorph in this dataset (meV/atom) = 0
- formation energy (no corrections) (meV per atom) = 377
- total magnetization (μB/atom) = 0.021
- V (Å³/f.u.) = 79.95
- Fermi-level density of states (states/eV per cell) = 4.01

```
data_TcPbSN2
_chemical_formula_sum 'Tc1 Pb1 S1 N2'
_space_group_name_H-M_alt 'P 1'
_space_group_IT_number 1
_space_group_name_Hall 'P 1'
_cell_length_a 3.950
_cell_length_b 3.950
_cell_length_c 5.123
_cell_angle_alpha 90.00
_cell_angle_beta 90.00
_cell_angle_gamma 90.00
loop_
_atom_site_label
_atom_site_fract_x
_atom_site_fract_y
_atom_site_fract_z
Tc1 0.000 0.000 0.000
Pb1 0.500 0.500 0.500
S1 0.000 0.000 0.500
N1 0.000 0.500 0.000
N2 0.500 0.000 0.000
```



A plane-wave DFT calculation with GGA-PBE was carried out for an optimized crystal structure of Cs2LaAsRu.

- raw total energy (eV/atom) = -3.679
- space-group type = P4/mmm, No. 123
- ρ (Mg/m³) = 5.515
- total magnetization (μB/atom) = 0.074
- V (Å³/f.u.) = 174.83
- Fermi-level density of states (states/eV per cell) = 4.25
- calculated formation energy (eV per atom) = 0.433

```
data_Cs2LaAsRu
_chemical_formula_sum 'Cs2 La1 As1 Ru1'
_space_group_name_H-M_alt 'P 1'
_space_group_IT_number 1
_space_group_name_Hall 'P 1'
_cell_length_a 5.690
_cell_length_b 5.690
_cell_length_c 5.399
_cell_angle_alpha 90.00
_cell_angle_beta 90.00
_cell_angle_gamma 90.00
loop_
_atom_site_label
_atom_site_fract_x
_atom_site_fract_y
_atom_site_fract_z
Cs1 0.000 0.500 0.000
Cs2 0.500 0.000 0.000
La1 0.000 0.000 0.500
As1 0.500 0.500 0.500
Ru1 0.000 0.000 0.000
```



A plane-wave DFT calculation with GGA-PBE was carried out for an optimized crystal structure of SrAcBr2.

- raw total energy (eV/atom) = -3.537
- space-group type = R-3m, No. 166
- ρ (Mg/m³) = 5.036
- formation energy (no corrections) (meV per atom) = -1253
- total magnetization (μB/atom) = 0.025
- V (Å³/f.u.) = 156.44
- Fermi-level density of states (states/eV per cell) = 8.94

```
data_SrAcBr2
_chemical_formula_sum 'Sr3 Ac3 Br6'
_space_group_name_H-M_alt 'P 1'
_space_group_IT_number 1
_space_group_name_Hall 'P 1'
_cell_length_a 4.079
_cell_length_b 4.079
_cell_length_c 32.565
_cell_angle_alpha 90.00
_cell_angle_beta 90.00
_cell_angle_gamma 120.00
loop_
_atom_site_label
_atom_site_fract_x
_atom_site_fract_y
_atom_site_fract_z
Sr1 0.000 0.000 0.000
Sr2 0.333 0.667 0.667
Sr3 0.667 0.333 0.333
Ac1 0.000 0.000 0.500
Ac2 0.333 0.667 0.167
Ac3 0.667 0.333 0.833
Br1 0.000 0.000 0.097
Br2 0.000 0.000 0.903
Br3 0.333 0.667 0.570
Br4 0.333 0.667 0.763
Br5 0.667 0.333 0.237
Br6 0.667 0.333 0.430
```



A plane-wave DFT calculation with GGA-PBE was carried out for an optimized crystal structure of HfCo2B.

- raw total energy (eV/atom) = -7.608
- space-group type = I-42d, No. 122
- ρ (Mg/m³) = 9.339
- total magnetization (μB/atom) = 0.000
- V (Å³/f.u.) = 54.62
- Fermi-level density of states (states/eV per cell) = 13.95
- calculated formation energy (eV per atom) = 0.103

```
data_HfCo2B
_chemical_formula_sum 'Hf4 Co8 B4'
_space_group_name_H-M_alt 'P 1'
_space_group_IT_number 1
_space_group_name_Hall 'P 1'
_cell_length_a 4.006
_cell_length_b 4.006
_cell_length_c 13.614
_cell_angle_alpha 90.00
_cell_angle_beta 90.00
_cell_angle_gamma 90.00
loop_
_atom_site_label
_atom_site_fract_x
_atom_site_fract_y
_atom_site_fract_z
Hf1 0.000 0.000 0.000
Hf2 0.000 0.500 0.250
Hf3 0.500 0.000 0.750
Hf4 0.500 0.500 0.500
Co1 0.095 0.250 0.625
Co2 0.250 0.595 0.875
Co3 0.250 0.905 0.375
Co4 0.405 0.250 0.125
Co5 0.595 0.750 0.125
Co6 0.750 0.095 0.375
Co7 0.750 0.405 0.875
Co8 0.905 0.750 0.625
B1 0.000 0.000 0.500
B2 0.000 0.500 0.750
B3 0.500 0.000 0.250
B4 0.500 0.500 0.000
```



A plane-wave DFT calculation with GGA-PBE was carried out for an optimized crystal structure of LiTi2AlRe.

- raw total energy (eV/atom) = -6.036
- space-group type = P4/mmm, No. 123
- ρ (Mg/m³) = 5.061
- total magnetization (μB/atom) = 0.000
- V (Å³/f.u.) = 103.64
- Fermi-level density of states (states/eV per cell) = 4.58
- calculated formation energy (eV per atom) = 0.743

```
data_LiTi2AlRe
_chemical_formula_sum 'Li1 Ti2 Al1 Re1'
_space_group_name_H-M_alt 'P 1'
_space_group_IT_number 1
_space_group_name_Hall 'P 1'
_cell_length_a 4.680
_cell_length_b 4.680
_cell_length_c 4.732
_cell_angle_alpha 90.00
_cell_angle_beta 90.00
_cell_angle_gamma 90.00
loop_
_atom_site_label
_atom_site_fract_x
_atom_site_fract_y
_atom_site_fract_z
Li1 0.000 0.000 0.000
Ti1 0.000 0.500 0.500
Ti2 0.500 0.000 0.500
Al1 0.500 0.500 0.000
Re1 0.000 0.000 0.500
```



Copy entry 9 word for word.
A plane-wave DFT calculation with GGA-PBE was carried out for an optimized crystal structure of Cs2LaAsRu.

- raw total energy (eV/atom) = -3.679
- space-group type = P4/mmm, No. 123
- ρ (Mg/m³) = 5.515
- total magnetization (μB/atom) = 0.074
- V (Å³/f.u.) = 174.83
- Fermi-level density of states (states/eV per cell) = 4.25
- calculated formation energy (eV per atom) = 0.433

```
data_Cs2LaAsRu
_chemical_formula_sum 'Cs2 La1 As1 Ru1'
_space_group_name_H-M_alt 'P 1'
_space_group_IT_number 1
_space_group_name_Hall 'P 1'
_cell_length_a 5.690
_cell_length_b 5.690
_cell_length_c 5.399
_cell_angle_alpha 90.00
_cell_angle_beta 90.00
_cell_angle_gamma 90.00
loop_
_atom_site_label
_atom_site_fract_x
_atom_site_fract_y
_atom_site_fract_z
Cs1 0.000 0.500 0.000
Cs2 0.500 0.000 0.000
La1 0.000 0.000 0.500
As1 0.500 0.500 0.500
Ru1 0.000 0.000 0.000
```